Entry 1:
First-principles (GGA-PBE) data for a relaxed TaAu crystal, as listed in Alexandria.

POSCAR file:
```
TaAu
1.0
5.471 -1.497 0.000
5.471 1.497 0.000
-1.916 0.000 6.554
Ta Au
3 3
direct
0.000 0.000 0.000
0.048 0.048 0.587
0.383 0.383 0.261
0.340 0.340 0.669
0.667 0.667 0.331
0.713 0.713 0.926
```

Computed properties:
DFT total energy: -7.57 eV per atom
SG: Cm
total moment: 0.00 μB per cell
ρ: 17.53 Mg/m³

Entry 2:
First-principles (GGA-PBE) data for a relaxed Sc8Zn2Os crystal, as listed in Alexandria.

POSCAR file:
```
Sc8Zn2Os
1.0
8.046 -2.400 0.000
8.046 2.400 0.000
-2.180 0.000 6.001
Sc Zn Os
8 2 1
direct
0.024 0.024 0.290
0.195 0.195 0.796
0.338 0.338 0.535
0.407 0.407 0.061
0.593 0.593 0.939
0.662 0.662 0.465
0.805 0.805 0.204
0.976 0.976 0.710
0.180 0.180 0.203
0.820 0.820 0.797
0.500 0.500 0.500
```

Computed properties:
DFT total energy: -6.12 eV per atom
SG: C2/m
total moment: 0.00 μB per cell
ρ: 4.88 Mg/m³

Entry 3:
First-principles (GGA-PBE) data for a relaxed Ce2SmZn3 crystal, as listed in Alexandria.

POSCAR file:
```
Ce2SmZn3
1.0
3.616 0.000 0.000
0.000 3.616 0.000
0.000 0.000 10.931
Ce Sm Zn
2 1 3
direct
0.000 0.000 0.165
0.000 0.000 0.835
0.000 0.000 0.500
0.500 0.500 0.000
0.500 0.500 0.333
0.500 0.500 0.667
```

Computed properties:
DFT total energy: -3.62 eV per atom
SG: P4/mmm
total moment: 1.09 μB per cell
ρ: 7.28 Mg/m³

Entry 4:
First-principles (GGA-PBE) data for a relaxed BaY2Cd crystal, as listed in Alexandria.

POSCAR file:
```
BaY2Cd
1.0
3.811 0.000 0.000
0.000 3.811 0.000
0.000 0.000 9.734
Ba Y Cd
1 2 1
direct
0.000 0.000 0.000
0.500 0.500 0.317
0.500 0.500 0.683
0.000 0.000 0.500
```

Computed properties:
DFT total energy: -3.96 eV per atom
SG: P4/mmm
total moment: 0.00 μB per cell
ρ: 5.02 Mg/m³

Entry 5:
First-principles (GGA-PBE) data for a relaxed Tm2HfZn crystal, as listed in Alexandria.

POSCAR file:
```
Tm2HfZn
1.0
1.613 0.931 11.118
-1.613 0.931 11.118
0.000 -1.862 11.118
Tm Hf Zn
2 1 1
direct
0.096 0.096 0.096
0.904 0.904 0.904
0.000 0.000 0.000
0.500 0.500 0.500
```

Computed properties:
DFT total energy: -4.75 eV per atom
SG: R-3m
total moment: 0.00 μB per cell
ρ: 9.65 Mg/m³

Entry 6:
First-principles (GGA-PBE) data for a relaxed PmTmHgSb crystal, as listed in Alexandria.

POSCAR file:
```
PmTmHgSb
1.0
0.000 3.771 3.771
3.771 0.000 3.771
3.771 3.771 0.000
Pm Tm Hg Sb
1 1 1 1
direct
0.000 0.000 0.000
0.500 0.500 0.500
0.250 0.250 0.250
0.750 0.750 0.750
```

Computed properties:
SG: F-43m
formation energy from raw total energies: -0.60 eV/atom
total moment: 0.00 μB per cell
ρ: 9.85 Mg/m³

Entry 7:
First-principles (GGA-PBE) data for a relaxed BC2 crystal, as listed in Alexandria.

POSCAR file:
```
BC2
1.0
6.124 -1.273 0.000
6.124 1.273 0.000
-1.174 0.000 4.961
B C
4 8
direct
0.000 0.000 0.000
0.022 0.022 0.440
0.119 0.119 0.745
0.414 0.414 0.414
0.114 0.114 0.244
0.339 0.339 0.119
0.343 0.343 0.634
0.416 0.416 0.921
0.688 0.688 0.289
0.691 0.691 0.797
0.765 0.765 0.083
0.765 0.765 0.587
```

Computed properties:
DFT total energy: -8.04 eV per atom
SG: Cm
total moment: 0.00 μB per cell
ρ: 2.99 Mg/m³

Entry 8:
First-principles (GGA-PBE) data for a relaxed SrLi2Cd9 crystal, as listed in Alexandria.

POSCAR file:
```
SrLi2Cd9
1.0
-5.957 5.957 3.834
5.957 -5.957 3.834
5.957 5.957 -3.834
Sr Li Cd
2 4 18
direct
0.375 0.625 0.750
0.625 0.375 0.250
0.000 0.000 0.000
0.000 0.000 0.500
0.000 0.500 0.000
0.500 0.000 0.500
0.125 0.875 0.250
0.137 0.563 0.332
0.137 0.805 0.574
0.195 0.269 0.332
0.195 0.863 0.926
0.269 0.195 0.832
0.269 0.437 0.074
0.437 0.269 0.574
0.437 0.863 0.168
0.563 0.137 0.832
0.563 0.731 0.426
0.731 0.563 0.926
0.731 0.805 0.168
0.805 0.137 0.074
0.805 0.731 0.668
0.863 0.195 0.426
0.863 0.437 0.668
0.875 0.125 0.750
```

Computed properties:
DFT total energy: -1.37 eV per atom
SG: I4_1/amd
total moment: 0.00 μB per cell
ρ: 6.79 Mg/m³

Entry 9:
First-principles (GGA-PBE) data for a relaxed InHg3Te crystal, as listed in Alexandria.

POSCAR file:
```
InHg3Te
1.0
5.575 0.000 0.000
0.000 5.575 0.000
0.000 0.000 5.575
In Hg Te
1 3 1
direct
0.000 0.000 0.000
0.000 0.000 0.500
0.000 0.500 0.000
0.500 0.000 0.000
0.500 0.500 0.500
```

Computed properties:
SG: Pm-3m
formation energy from raw total energies: 0.26 eV/atom
total moment: 0.00 μB per cell
ρ: 8.09 Mg/m³

Entry 10:
First-principles (GGA-PBE) data for a relaxed YMnCoP2 crystal, as listed in Alexandria.

POSCAR file:
```
YMnCoP2
1.0
-1.917 1.917 4.809
1.917 -1.917 4.809
1.917 1.917 -4.809
Y Mn Co P
1 1 1 2
direct
0.000 0.000 0.000
0.250 0.750 0.500
0.750 0.250 0.500
0.367 0.367 0.000
0.633 0.633 0.000
```

Computed properties:
DFT total energy: -7.71 eV per atom
SG: I-4m2
total moment: 0.00 μB per cell
ρ: 6.22 Mg/m³

Entry 11:
First-principles (GGA-PBE) data for a relaxed LaZn2CrN4 crystal, as listed in Alexandria.

POSCAR file:
```
LaZn2CrN4
1.0
-2.656 2.656 3.660
2.656 -2.656 3.660
2.656 2.656 -3.660
La Zn Cr N
1 2 1 4
direct
0.000 0.000 0.000
0.250 0.750 0.500
0.750 0.250 0.500
0.500 0.500 0.000
0.163 0.163 0.607
0.444 0.837 0.000
0.556 0.556 0.393
0.837 0.444 0.000
```

Computed properties:
SG: I-42m
formation energy from raw total energies: -0.49 eV/atom
total moment: 1.00 μB per cell
ρ: 6.07 Mg/m³

Entry 12:
First-principles (GGA-PBE) data for a relaxed TbGa4Ag4 crystal, as listed in Alexandria.

POSCAR file:
```
TbGa4Ag4
1.0
6.211 0.000 0.000
0.000 6.211 0.000
0.000 0.000 9.156
Tb Ga Ag
2 8 8
direct
0.250 0.750 0.250
0.750 0.250 0.750
0.027 0.250 0.039
0.250 0.027 0.539
0.250 0.473 0.539
0.473 0.250 0.039
0.527 0.750 0.961
0.750 0.527 0.461
0.750 0.973 0.461
0.973 0.750 0.961
0.029 0.250 0.330
0.250 0.029 0.830
0.250 0.471 0.830
0.471 0.250 0.330
0.529 0.750 0.670
0.750 0.529 0.170
0.750 0.971 0.170
0.971 0.750 0.670
```

Computed properties:
DFT total energy: -3.26 eV per atom
SG: P4_2/nmc
total moment: 0.00 μB per cell
ρ: 8.17 Mg/m³

Entry 13:
First-principles (GGA-PBE) data for a relaxed CdSiSn2Ir crystal, as listed in Alexandria.

POSCAR file:
```
CdSiSn2Ir
1.0
5.334 0.000 0.000
0.000 5.334 0.000
0.000 0.000 4.535
Cd Si Sn Ir
1 1 2 1
direct
0.000 0.000 0.000
0.500 0.500 0.000
0.000 0.500 0.500
0.500 0.000 0.500
0.500 0.500 0.500
```

Computed properties:
SG: P4/mmm
formation energy from raw total energies: 0.20 eV/atom
total moment: 0.00 μB per cell
ρ: 7.34 Mg/m³

Entry 14:
First-principles (GGA-PBE) data for a relaxed CrFeAg2 crystal, as listed in Alexandria.

POSCAR file:
```
CrFeAg2
1.0
-1.460 2.334 4.690
1.460 -2.334 4.690
1.460 2.334 -4.690
Cr Fe Ag
1 1 2
direct
0.000 0.000 0.000
0.500 0.500 0.000
0.259 0.759 0.500
0.741 0.241 0.500
```

Computed properties:
DFT total energy: -5.33 eV per atom
SG: Immm
total moment: 6.32 μB per cell
ρ: 8.41 Mg/m³

Entry 15:
First-principles (GGA-PBE) data for a relaxed Te3PtW crystal, as listed in Alexandria.

POSCAR file:
```
Te3PtW
1.0
5.234 0.000 0.000
0.000 5.234 0.000
0.000 0.000 5.234
Te Pt W
3 1 1
direct
0.000 0.000 0.500
0.000 0.500 0.000
0.500 0.000 0.000
0.000 0.000 0.000
0.500 0.500 0.500
```

Computed properties:
SG: Pm-3m
formation energy from raw total energies: 1.27 eV/atom
total moment: 2.72 μB per cell
ρ: 8.82 Mg/m³

Entry 16:
First-principles (GGA-PBE) data for a relaxed SrBi4Rh4 crystal, as listed in Alexandria.

POSCAR file:
```
SrBi4Rh4
1.0
9.146 0.000 0.000
0.000 9.146 0.000
0.000 0.000 5.506
Sr Bi Rh
2 8 8
direct
0.250 0.250 0.250
0.750 0.750 0.750
0.108 0.628 0.160
0.128 0.892 0.660
0.372 0.608 0.660
0.392 0.872 0.160
0.608 0.128 0.840
0.628 0.392 0.340
0.872 0.108 0.340
0.892 0.372 0.840
0.068 0.592 0.662
0.092 0.932 0.162
0.408 0.568 0.162
0.432 0.908 0.662
0.568 0.092 0.338
0.592 0.432 0.838
0.908 0.068 0.838
0.932 0.408 0.338
```

Computed properties:
DFT total energy: -5.35 eV per atom
SG: P4_2/n
total moment: 0.00 μB per cell
ρ: 9.63 Mg/m³

Entry 17:
First-principles (GGA-PBE) data for a relaxed PrDyAl crystal, as listed in Alexandria.

POSCAR file:
```
PrDyAl
1.0
5.371 0.000 0.000
-2.686 4.652 0.000
0.000 0.000 6.734
Pr Dy Al
2 2 2
direct
0.000 0.000 0.000
0.000 0.000 0.500
0.333 0.667 0.250
0.667 0.333 0.750
0.333 0.667 0.750
0.667 0.333 0.250
```

Computed properties:
DFT total energy: -4.59 eV per atom
SG: P6_3/mmc
total moment: 0.00 μB per cell
ρ: 6.52 Mg/m³

Entry 18:
First-principles (GGA-PBE) data for a relaxed B5C7 crystal, as listed in Alexandria.

POSCAR file:
```
B5C7
1.0
3.639 0.000 0.000
-1.552 4.125 0.000
-0.270 -1.452 5.353
B C
5 7
direct
0.000 0.000 0.000
0.010 0.396 0.523
0.300 0.684 0.117
0.319 0.059 0.296
0.618 0.742 0.418
0.038 0.055 0.520
0.287 0.037 0.737
0.365 0.719 0.674
0.594 0.677 0.887
0.612 0.348 0.873
0.697 0.392 0.315
0.906 0.350 0.074
```

Computed properties:
DFT total energy: -7.83 eV per atom
SG: P1
total moment: 0.00 μB per cell
ρ: 2.85 Mg/m³

Entry 19:
First-principles (GGA-PBE) data for a relaxed PmDyGa2 crystal, as listed in Alexandria.

POSCAR file:
```
PmDyGa2
1.0
1.858 1.073 8.754
-1.858 1.073 8.754
0.000 -2.145 8.754
Pm Dy Ga
1 1 2
direct
0.000 0.000 0.000
0.500 0.500 0.500
0.248 0.248 0.248
0.752 0.752 0.752
```

Computed properties:
DFT total energy: -4.25 eV per atom
SG: R-3m
total moment: 0.00 μB per cell
ρ: 7.09 Mg/m³

Entry 20:
First-principles (GGA-PBE) data for a relaxed Ca2As2Pt crystal, as listed in Alexandria.

POSCAR file:
```
Ca2As2Pt
1.0
5.348 -2.195 0.000
5.348 2.195 0.000
-4.803 0.000 9.784
Ca As Pt
4 4 2
direct
0.092 0.092 0.402
0.293 0.293 0.859
0.707 0.707 0.141
0.908 0.908 0.598
0.022 0.022 0.896
0.374 0.374 0.386
0.626 0.626 0.614
0.978 0.978 0.104
0.436 0.436 0.186
0.564 0.564 0.814
```

Computed properties:
DFT total energy: -4.86 eV per atom
SG: C2/m
total moment: 0.00 μB per cell
ρ: 6.15 Mg/m³